Here is a relaxed Li2PmHoAu4 crystal from Alexandria. Energies are from PBE.

Crystal system = trigonal
Calculated formation energy = -0.69 eV per atom

```
data_Li2PmHoAu4
_cell_length_a 8.319
_cell_length_b 8.319
_cell_length_c 8.319
_cell_angle_alpha 34.73
_cell_angle_beta 34.73
_cell_angle_gamma 34.73
_space_group_name_H-M_alt 'P 1'
_space_group_IT_number 1
loop_
_space_group_symop_operation_xyz
'x,y,z'
loop_
_atom_site_label
_atom_site_fract_x
_atom_site_fract_y
_atom_site_fract_z
_atom_site_occupancy
Li1 0.250 0.250 0.250 1
Li2 0.750 0.750 0.750 1
Pm1 0.000 0.000 0.000 1
Ho1 0.500 0.500 0.500 1
Au1 0.131 0.131 0.131 1
Au2 0.374 0.374 0.374 1
Au3 0.626 0.626 0.626 1
Au4 0.869 0.869 0.869 1
```


Here is a relaxed Mn4HgSe crystal from Alexandria. Energies are from PBE.

Crystal system = cubic
Energy = -6.1687 eV/atom

```
data_Mn4HgSe
_cell_length_a 5.046
_cell_length_b 5.046
_cell_length_c 5.046
_cell_angle_alpha 60.00
_cell_angle_beta 60.00
_cell_angle_gamma 60.00
_space_group_name_H-M_alt 'P 1'
_space_group_IT_number 1
loop_
_space_group_symop_operation_xyz
'x,y,z'
loop_
_atom_site_label
_atom_site_fract_x
_atom_site_fract_y
_atom_site_fract_z
_atom_site_occupancy
Mn1 0.125 0.125 0.125 1
Mn2 0.125 0.125 0.626 1
Mn3 0.125 0.626 0.125 1
Mn4 0.626 0.125 0.125 1
Hg1 0.500 0.500 0.500 1
Se1 0.750 0.750 0.750 1
```


Here is a relaxed AlTcSb2 crystal from Alexandria. Energies are from PBE.

Crystal system = orthorhombic
Energy = -5.0892 eV/atom

```
data_AlTcSb2
_cell_length_a 3.598
_cell_length_b 4.474
_cell_length_c 4.991
_cell_angle_alpha 90.00
_cell_angle_beta 90.00
_cell_angle_gamma 90.00
_space_group_name_H-M_alt 'P 1'
_space_group_IT_number 1
loop_
_space_group_symop_operation_xyz
'x,y,z'
loop_
_atom_site_label
_atom_site_fract_x
_atom_site_fract_y
_atom_site_fract_z
_atom_site_occupancy
Al1 0.000 0.000 0.000 1
Tc1 0.500 0.000 0.500 1
Sb1 0.000 0.500 0.500 1
Sb2 0.500 0.500 0.000 1
```


no.,mass density (g cm⁻³),calculated volume (Å³/atom)
1,11.07,20.8
2,9.12,15.1
3,7.62,20.1